Below is crystalline ReAsSe2 at its relaxed geometry, with properties calculated at the PBE-GGA level.

Cell lengths 2.9564, 2.9564, 10.0500 Å; angles 90.00, 90.00, 90.00 degrees
Last column: nearest neighbours and their distance in Å.
Atoms (fractional coordinates):
As 0.0000 0.0000 0.5881  4 Re 2.69, 4 As 2.96
Se 0.0000 0.0000 0.9088  4 Re 2.59
Se 0.5000 0.5000 0.2466  4 Se 2.96
Re 0.5000 0.5000 0.7565  4 Se 2.59, 4 As 2.69

Results
Energy = -5.834 eV/atom
Calculated density = 7.9 g/cm3
Size of the total moment = 0.00 μB per formula unit
Density of states at the Fermi level = 1.996 states/eV/f.u.
E_form (uncorrected) = 4.21 kcal/mol of atoms
Space group = No. 99